(1)
# PBE-GGA Ce3Pm4YN8, optimized geometry
data_Ce3Pm4YN8
_symmetry_space_group_name_H-M 'R -3 m'
_symmetry_Int_Tables_number 166
_symmetry_space_group_name_Hall '-R 3 2"'
_cell_length_a 7.1474
_cell_length_b 7.1474
_cell_length_c 17.5153
_cell_angle_alpha 90.00
_cell_angle_beta 90.00
_cell_angle_gamma 120.00
loop_
_atom_site_label
_atom_site_fract_x
_atom_site_fract_y
_atom_site_fract_z
_atom_site_occupancy
Ce1 0.0000 0.5000 0.0000 1
Pm1 0.0000 0.0000 0.5000 1
Pm2 0.0000 0.5000 0.5000 1
Y1 0.0000 0.0000 0.0000 1
N1 0.0000 0.0000 0.2538 1
N2 0.0019 0.5009 0.2542 1
# **Formation energy (no corrections)**: -1.5087 eV/atom

(2)
# PBE-GGA Al2Si, optimized geometry
data_Al2Si
_symmetry_space_group_name_H-M 'P a -3'
_symmetry_Int_Tables_number 205
_symmetry_space_group_name_Hall '-P 2ac 2ab 3'
_cell_length_a 6.155
_cell_length_b 6.155
_cell_length_c 6.155
_cell_angle_alpha 90.00
_cell_angle_beta 90.00
_cell_angle_gamma 90.00
loop_
_atom_site_label
_atom_site_fract_x
_atom_site_fract_y
_atom_site_fract_z
_atom_site_occupancy
Al1 0.123 0.123 0.123 1
Si1 0.000 0.000 0.500 1
# **Formation energy (no corrections)**: 0.2356 eV/atom

(3)
# PBE-GGA Mg2AgAs, optimized geometry
data_Mg2AgAs
_symmetry_space_group_name_H-M 'F -4 3 m'
_symmetry_Int_Tables_number 216
_symmetry_space_group_name_Hall 'F -4 2 3'
_cell_length_a 6.849
_cell_length_b 6.849
_cell_length_c 6.849
_cell_angle_alpha 90.00
_cell_angle_beta 90.00
_cell_angle_gamma 90.00
loop_
_atom_site_label
_atom_site_fract_x
_atom_site_fract_y
_atom_site_fract_z
_atom_site_occupancy
Mg1 0.000 0.000 0.000 1
Mg2 0.250 0.250 0.250 1
Ag1 0.000 0.000 0.500 1
As1 0.250 0.250 0.750 1
# **Calculated formation energy**: -0.05 eV/atom

(4)
# PBE-GGA Tb3Ti, optimized geometry
data_Tb3Ti
_symmetry_space_group_name_H-M 'I m m 2'
_symmetry_Int_Tables_number 44
_cell_length_a 3.476
_cell_length_b 10.914
_cell_length_c 5.940
_cell_angle_alpha 90.00
_cell_angle_beta 90.00
_cell_angle_gamma 90.00
loop_
_symmetry_equiv_pos_as_xyz
'x,y,z'
'-x,-y,z'
'-x,y,z'
'x,-y,z'
'x+1/2,y+1/2,z+1/2'
'-x+1/2,-y+1/2,z+1/2'
'-x+1/2,y+1/2,z+1/2'
'x+1/2,-y+1/2,z+1/2'
loop_
_atom_site_label
_atom_site_fract_x
_atom_site_fract_y
_atom_site_fract_z
_atom_site_occupancy
Tb1 0.000 0.000 0.000 1
Tb2 0.000 0.231 0.630 1
Ti1 0.000 0.500 0.971 1
# **Calculated formation energy**: 0.20 eV/atom

(5)
# PBE-GGA SnPb2Au2, optimized geometry
data_SnPb2Au2
_symmetry_space_group_name_H-M 'P -3 m 1'
_symmetry_Int_Tables_number 164
_symmetry_space_group_name_Hall '-P 3 2"'
_cell_length_a 4.5294
_cell_length_b 4.5294
_cell_length_c 7.5828
_cell_angle_alpha 90.00
_cell_angle_beta 90.00
_cell_angle_gamma 120.00
loop_
_atom_site_label
_atom_site_fract_x
_atom_site_fract_y
_atom_site_fract_z
_atom_site_occupancy
Sn1 0.0000 0.0000 0.0000 1
Pb1 0.3333 0.6667 0.6541 1
Au1 0.3333 0.6667 0.1649 1
# **Energy above the most stable polymorph in this dataset**: 0.0 meV per atom
# **Calculated formation energy**: -0.08 eV/atom

(6)
# PBE-GGA Rb2Sn4BiAu3, optimized geometry
data_Rb2Sn4BiAu3
_symmetry_space_group_name_H-M 'P -4 m 2'
_symmetry_Int_Tables_number 115
_cell_length_a 4.985
_cell_length_b 4.985
_cell_length_c 11.839
_cell_angle_alpha 90.00
_cell_angle_beta 90.00
_cell_angle_gamma 90.00
loop_
_symmetry_equiv_pos_as_xyz
'x,y,z'
'y,-x,-z'
'-x,-y,z'
'-y,x,-z'
'-x,y,z'
'-y,-x,-z'
'x,-y,z'
'y,x,-z'
loop_
_atom_site_label
_atom_site_fract_x
_atom_site_fract_y
_atom_site_fract_z
_atom_site_occupancy
Rb1 0.000 0.500 0.246 1
Sn1 0.000 0.000 0.000 1
Sn2 0.000 0.500 0.645 1
Sn3 0.500 0.500 0.000 1
Bi1 0.000 0.000 0.500 1
Au1 0.000 0.500 0.881 1
Au2 0.500 0.500 0.500 1
# **Calculated formation energy**: -0.24 eV/atom

(7)
# PBE-GGA CeNi4As, optimized geometry
data_CeNi4As
_symmetry_space_group_name_H-M 'F -4 3 m'
_symmetry_Int_Tables_number 216
_symmetry_space_group_name_Hall 'F -4 2 3'
_cell_length_a 7.006
_cell_length_b 7.006
_cell_length_c 7.006
_cell_angle_alpha 90.00
_cell_angle_beta 90.00
_cell_angle_gamma 90.00
loop_
_atom_site_label
_atom_site_fract_x
_atom_site_fract_y
_atom_site_fract_z
_atom_site_occupancy
Ce1 0.000 0.000 0.000 1
Ni1 0.124 0.124 0.624 1
As1 0.250 0.250 0.250 1
# **Calculated formation energy**: -0.33 eV/atom

(8)
# PBE-GGA YHfHg3, optimized geometry
data_YHfHg3
_symmetry_space_group_name_H-M 'P m -3 m'
_symmetry_Int_Tables_number 221
_symmetry_space_group_name_Hall '-P 4 2 3'
_cell_length_a 5.349
_cell_length_b 5.349
_cell_length_c 5.349
_cell_angle_alpha 90.00
_cell_angle_beta 90.00
_cell_angle_gamma 90.00
loop_
_atom_site_label
_atom_site_fract_x
_atom_site_fract_y
_atom_site_fract_z
_atom_site_occupancy
Y1 0.000 0.000 0.000 1
Hf1 0.500 0.500 0.500 1
Hg1 0.000 0.500 0.500 1
# **Energy above the most stable polymorph in this dataset**: 0.0 meV per atom
# **Calculated formation energy**: 0.44 eV/atom

Number 1: energy -8.376 eV per atom. Number 2: energy -4.067 eV per atom. Number 3: energy -2.721 eV per atom. Number 4: energy -5.248 eV per atom. Number 5: energy -3.677 eV per atom. Number 6: energy -3.401 eV per atom. Number 7: energy -5.944 eV per atom. Number 8: energy -3.028 eV per atom.